Entry 1:
# Cd6PdPt5 (PBE-GGA, optimized geometry)
data_Cd6PdPt5
_chemical_formula_sum 'Cd12 Pd2 Pt10'
_space_group_name_H-M_alt 'C m m m'
_space_group_IT_number 65
_space_group_name_Hall '-C 2 2'
_cell_length_a 4.262
_cell_length_b 12.872
_cell_length_c 7.672
_cell_angle_alpha 90.00
_cell_angle_beta 90.00
_cell_angle_gamma 90.00
loop_
_atom_site_label
_atom_site_type_symbol
_atom_site_fract_x
_atom_site_fract_y
_atom_site_fract_z
Cd1 Cd 0.000 0.000 0.248
Cd2 Cd 0.000 0.334 0.250
Pd1 Pd 0.000 0.500 0.000
Pt1 Pt 0.000 0.166 0.500
Pt2 Pt 0.000 0.168 0.000
Pt3 Pt 0.000 0.500 0.500
# Crystal system: orthorhombic
# Energy: -3.748 eV per atom


Entry 2:
# Cd2Pd3Pt2 (PBE-GGA, optimized geometry)
data_Cd2Pd3Pt2
_chemical_formula_sum 'Cd4 Pd6 Pt4'
_space_group_name_H-M_alt 'C 1 2/m 1'
_space_group_IT_number 12
_space_group_name_Hall '-C 2y'
_cell_length_a 9.428
_cell_length_b 2.856
_cell_length_c 9.394
_cell_angle_alpha 90.00
_cell_angle_beta 110.16
_cell_angle_gamma 90.00
loop_
_atom_site_label
_atom_site_type_symbol
_atom_site_fract_x
_atom_site_fract_y
_atom_site_fract_z
Cd1 Cd 0.047 0.000 0.279
Pd1 Pd 0.000 0.500 0.000
Pd2 Pd 0.181 0.000 0.593
Pt1 Pt 0.228 0.500 0.867
# Energy relative to the lowest polymorph listed for this composition: 0 meV/atom
# Crystal system: monoclinic


Entry 3:
# CdPdPt3 (PBE-GGA, optimized geometry)
data_CdPdPt3
_chemical_formula_sum 'Cd4 Pd4 Pt12'
_space_group_name_H-M_alt 'P n m a'
_space_group_IT_number 62
_space_group_name_Hall '-P 2ac 2n'
_cell_length_a 5.721
_cell_length_b 3.965
_cell_length_c 14.328
_cell_angle_alpha 90.00
_cell_angle_beta 90.00
_cell_angle_gamma 90.00
loop_
_atom_site_label
_atom_site_type_symbol
_atom_site_fract_x
_atom_site_fract_y
_atom_site_fract_z
Cd1 Cd 0.137 0.250 0.148
Pd1 Pd 0.118 0.250 0.549
Pt1 Pt 0.113 0.250 0.750
Pt2 Pt 0.127 0.250 0.950
Pt3 Pt 0.136 0.250 0.350
# Energy relative to the lowest polymorph listed for this composition: 0 meV/atom
# Crystal system: orthorhombic


Entry 4:
# CdPd5Pt5 (PBE-GGA, optimized geometry)
data_CdPd5Pt5
_chemical_formula_sum 'Cd1 Pd5 Pt5'
_space_group_name_H-M_alt 'P -1'
_space_group_IT_number 2
_space_group_name_Hall '-P 1'
_cell_length_a 4.885
_cell_length_b 5.590
_cell_length_c 7.101
_cell_angle_alpha 105.22
_cell_angle_beta 97.17
_cell_angle_gamma 97.58
loop_
_atom_site_label
_atom_site_type_symbol
_atom_site_fract_x
_atom_site_fract_y
_atom_site_fract_z
Cd1 Cd 0.000 0.000 0.000
Pd1 Pd 0.000 0.500 0.000
Pd2 Pd 0.172 0.717 0.683
Pd3 Pd 0.494 0.222 0.944
Pt1 Pt 0.074 0.210 0.650
Pt2 Pt 0.371 0.505 0.319
Pt3 Pt 0.500 0.000 0.500
# Crystal system: triclinic
# Energy: -5.154 eV per atom


Entry 5:
# Cd2PdPt4 (PBE-GGA, optimized geometry)
data_Cd2PdPt4
_chemical_formula_sum 'Cd4 Pd2 Pt8'
_space_group_name_H-M_alt 'I 4/m m m'
_space_group_IT_number 139
_space_group_name_Hall '-I 4 2'
_cell_length_a 3.678
_cell_length_b 3.678
_cell_length_c 18.987
_cell_angle_alpha 90.00
_cell_angle_beta 90.00
_cell_angle_gamma 90.00
loop_
_atom_site_label
_atom_site_type_symbol
_atom_site_fract_x
_atom_site_fract_y
_atom_site_fract_z
Cd1 Cd 0.000 0.000 0.082
Pd1 Pd 0.000 0.000 0.500
Pt1 Pt 0.000 0.000 0.357
Pt2 Pt 0.000 0.500 0.250
# Energy relative to the lowest polymorph listed for this composition: 161 meV/atom
# Crystal system: tetragonal


Entry 6:
# Cd2PdPt6 (PBE-GGA, optimized geometry)
data_Cd2PdPt6
_chemical_formula_sum 'Cd4 Pd2 Pt12'
_space_group_name_H-M_alt 'P 42/m n m'
_space_group_IT_number 136
_space_group_name_Hall '-P 4n 2n'
_cell_length_a 8.578
_cell_length_b 8.578
_cell_length_c 4.010
_cell_angle_alpha 90.00
_cell_angle_beta 90.00
_cell_angle_gamma 90.00
loop_
_atom_site_label
_atom_site_type_symbol
_atom_site_fract_x
_atom_site_fract_y
_atom_site_fract_z
Cd1 Cd 0.158 0.158 0.000
Pd1 Pd 0.000 0.000 0.500
Pt1 Pt 0.010 0.664 0.500
Pt2 Pt 0.175 0.825 0.000
# Energy relative to the lowest polymorph listed for this composition: 0 meV/atom
# Crystal system: tetragonal


Entry 7:
# Cd3Pd2Pt7 (PBE-GGA, optimized geometry)
data_Cd3Pd2Pt7
_chemical_formula_sum 'Cd6 Pd4 Pt14'
_space_group_name_H-M_alt 'C m m m'
_space_group_IT_number 65
_space_group_name_Hall '-C 2 2'
_cell_length_a 4.754
_cell_length_b 30.847
_cell_length_c 2.817
_cell_angle_alpha 90.00
_cell_angle_beta 90.00
_cell_angle_gamma 90.00
loop_
_atom_site_label
_atom_site_type_symbol
_atom_site_fract_x
_atom_site_fract_y
_atom_site_fract_z
Cd1 Cd 0.000 0.000 0.000
Cd2 Cd 0.000 0.323 0.500
Pd1 Pd 0.000 0.152 0.000
Pt1 Pt 0.000 0.078 0.500
Pt2 Pt 0.000 0.236 0.000
Pt3 Pt 0.000 0.419 0.000
Pt4 Pt 0.000 0.500 0.500
# Crystal system: orthorhombic
# Energy: -4.695 eV per atom


Entry 8:
# CdPdPt5 (PBE-GGA, optimized geometry)
data_CdPdPt5
_chemical_formula_sum 'Cd2 Pd2 Pt10'
_space_group_name_H-M_alt 'I m m 2'
_space_group_IT_number 44
_space_group_name_Hall 'I 2 -2'
_cell_length_a 7.204
_cell_length_b 8.766
_cell_length_c 5.243
_cell_angle_alpha 90.00
_cell_angle_beta 90.00
_cell_angle_gamma 90.00
loop_
_atom_site_label
_atom_site_type_symbol
_atom_site_fract_x
_atom_site_fract_y
_atom_site_fract_z
Cd1 Cd 0.000 0.000 0.000
Pd1 Pd 0.000 0.500 0.668
Pt1 Pt 0.000 0.000 0.501
Pt2 Pt 0.000 0.259 0.319
Pt3 Pt 0.177 0.500 0.175
# Energy relative to the lowest polymorph listed for this composition: 552 meV/atom
# Crystal system: orthorhombic


Entry 9:
# CdPdPt6 (PBE-GGA, optimized geometry)
data_CdPdPt6
_chemical_formula_sum 'Cd1 Pd1 Pt6'
_space_group_name_H-M_alt 'P 4/m m m'
_space_group_IT_number 123
_space_group_name_Hall '-P 4 2'
_cell_length_a 3.989
_cell_length_b 3.989
_cell_length_c 8.055
_cell_angle_alpha 90.00
_cell_angle_beta 90.00
_cell_angle_gamma 90.00
loop_
_atom_site_label
_atom_site_type_symbol
_atom_site_fract_x
_atom_site_fract_y
_atom_site_fract_z
Cd1 Cd 0.000 0.000 0.000
Pd1 Pd 0.000 0.000 0.500
Pt1 Pt 0.000 0.500 0.255
Pt2 Pt 0.500 0.500 0.000
Pt3 Pt 0.500 0.500 0.500
# Crystal system: tetragonal
# Energy: -5.404 eV per atom


Entry 10:
# Cd2Pd5Pt4 (PBE-GGA, optimized geometry)
data_Cd2Pd5Pt4
_chemical_formula_sum 'Cd4 Pd10 Pt8'
_space_group_name_H-M_alt 'C 1 2/m 1'
_space_group_IT_number 12
_space_group_name_Hall '-C 2y'
_cell_length_a 10.055
_cell_length_b 5.536
_cell_length_c 8.326
_cell_angle_alpha 90.00
_cell_angle_beta 124.65
_cell_angle_gamma 90.00
loop_
_atom_site_label
_atom_site_type_symbol
_atom_site_fract_x
_atom_site_fract_y
_atom_site_fract_z
Cd1 Cd 0.244 0.000 0.317
Pd1 Pd 0.000 0.256 0.314
Pd2 Pd 0.000 0.500 0.000
Pt1 Pt 0.226 0.000 0.644
Pt2 Pt 0.239 0.000 0.988
# Energy relative to the lowest polymorph listed for this composition: 47 meV/atom
# Crystal system: monoclinic


Entry 11:
# Cd2PdPt3 (PBE-GGA, optimized geometry)
data_Cd2PdPt3
_chemical_formula_sum 'Cd8 Pd4 Pt12'
_space_group_name_H-M_alt 'C m m m'
_space_group_IT_number 65
_space_group_name_Hall '-C 2 2'
_cell_length_a 4.106
_cell_length_b 12.244
_cell_length_c 8.020
_cell_angle_alpha 90.00
_cell_angle_beta 90.00
_cell_angle_gamma 90.00
loop_
_atom_site_label
_atom_site_type_symbol
_atom_site_fract_x
_atom_site_fract_y
_atom_site_fract_z
Cd1 Cd 0.000 0.000 0.000
Cd2 Cd 0.000 0.000 0.500
Cd3 Cd 0.000 0.334 0.000
Pd1 Pd 0.000 0.331 0.500
Pt1 Pt 0.000 0.168 0.255
Pt2 Pt 0.000 0.500 0.253
# Crystal system: orthorhombic
# Energy: -4.420 eV per atom


Entry 12:
# Cd4PdPt (PBE-GGA, optimized geometry)
data_Cd4PdPt
_chemical_formula_sum 'Cd8 Pd2 Pt2'
_space_group_name_H-M_alt 'C 1 2/m 1'
_space_group_IT_number 12
_space_group_name_Hall '-C 2y'
_cell_length_a 6.492
_cell_length_b 6.492
_cell_length_c 6.363
_cell_angle_alpha 90.00
_cell_angle_beta 90.09
_cell_angle_gamma 90.00
loop_
_atom_site_label
_atom_site_type_symbol
_atom_site_fract_x
_atom_site_fract_y
_atom_site_fract_z
Cd1 Cd 0.250 0.250 0.249
Pd1 Pd 0.000 0.000 0.000
Pt1 Pt 0.000 0.500 0.500
# Energy relative to the lowest polymorph listed for this composition: 17 meV/atom
# Crystal system: monoclinic


Entry 13:
# Cd2PdPt7 (PBE-GGA, optimized geometry)
data_Cd2PdPt7
_chemical_formula_sum 'Cd4 Pd2 Pt14'
_space_group_name_H-M_alt 'C m m m'
_space_group_IT_number 65
_space_group_name_Hall '-C 2 2'
_cell_length_a 7.200
_cell_length_b 15.304
_cell_length_c 3.772
_cell_angle_alpha 90.00
_cell_angle_beta 90.00
_cell_angle_gamma 90.00
loop_
_atom_site_label
_atom_site_type_symbol
_atom_site_fract_x
_atom_site_fract_y
_atom_site_fract_z
Cd1 Cd 0.000 0.194 0.000
Pd1 Pd 0.000 0.500 0.500
Pt1 Pt 0.000 0.000 0.000
Pt2 Pt 0.000 0.324 0.500
Pt3 Pt 0.192 0.408 0.000
# Crystal system: orthorhombic
# Energy: -4.587 eV per atom


Entry 14:
# CdPd2Pt (PBE-GGA, optimized geometry)
data_CdPd2Pt
_chemical_formula_sum 'Cd2 Pd4 Pt2'
_space_group_name_H-M_alt 'I m m m'
_space_group_IT_number 71
_space_group_name_Hall '-I 2 2'
_cell_length_a 2.781
_cell_length_b 4.757
_cell_length_c 10.895
_cell_angle_alpha 90.00
_cell_angle_beta 90.00
_cell_angle_gamma 90.00
loop_
_atom_site_label
_atom_site_type_symbol
_atom_site_fract_x
_atom_site_fract_y
_atom_site_fract_z
Cd1 Cd 0.000 0.000 0.000
Pd1 Pd 0.000 0.000 0.257
Pt1 Pt 0.000 0.000 0.500
# Crystal system: orthorhombic
# Energy: -4.217 eV per atom


Entry 15:
# Cd2Pd2Pt (PBE-GGA, optimized geometry)
data_Cd2Pd2Pt
_chemical_formula_sum 'Cd4 Pd4 Pt2'
_space_group_name_H-M_alt 'P 4/m b m'
_space_group_IT_number 127
_space_group_name_Hall '-P 4 2ab'
_cell_length_a 7.726
_cell_length_b 7.726
_cell_length_c 3.011
_cell_angle_alpha 90.00
_cell_angle_beta 90.00
_cell_angle_gamma 90.00
loop_
_atom_site_label
_atom_site_type_symbol
_atom_site_fract_x
_atom_site_fract_y
_atom_site_fract_z
Cd1 Cd 0.159 0.341 0.000
Pd1 Pd 0.138 0.638 0.500
Pt1 Pt 0.000 0.000 0.000
# Energy relative to the lowest polymorph listed for this composition: 88 meV/atom
# Crystal system: tetragonal


Entry 16:
# CdPdPt2 (PBE-GGA, optimized geometry)
data_CdPdPt2
_chemical_formula_sum 'Cd4 Pd4 Pt8'
_space_group_name_H-M_alt 'I -4 2 d'
_space_group_IT_number 122
_space_group_name_Hall 'I -4 2bw'
_cell_length_a 3.851
_cell_length_b 3.851
_cell_length_c 19.391
_cell_angle_alpha 90.00
_cell_angle_beta 90.00
_cell_angle_gamma 90.00
loop_
_atom_site_label
_atom_site_type_symbol
_atom_site_fract_x
_atom_site_fract_y
_atom_site_fract_z
Cd1 Cd 0.000 0.000 0.000
Pd1 Pd 0.000 0.000 0.500
Pt1 Pt 0.242 0.250 0.625
# Crystal system: tetragonal
# Energy: -4.490 eV per atom


Entry 17:
# Cd3Pd4Pt2 (PBE-GGA, optimized geometry)
data_Cd3Pd4Pt2
_chemical_formula_sum 'Cd12 Pd16 Pt8'
_space_group_name_H-M_alt 'C 1 2/c 1'
_space_group_IT_number 15
_space_group_name_Hall '-C 2yc'
_cell_length_a 13.032
_cell_length_b 9.749
_cell_length_c 4.913
_cell_angle_alpha 90.00
_cell_angle_beta 99.89
_cell_angle_gamma 90.00
loop_
_atom_site_label
_atom_site_type_symbol
_atom_site_fract_x
_atom_site_fract_y
_atom_site_fract_z
Cd1 Cd 0.000 0.126 0.250
Cd2 Cd 0.166 0.376 0.077
Pd1 Pd 0.056 0.374 0.529
Pd2 Pd 0.113 0.121 0.810
Pt1 Pt 0.221 0.129 0.368
# Energy relative to the lowest polymorph listed for this composition: 0 meV/atom
# Crystal system: monoclinic


Entry 18:
# Cd3PdPt2 (PBE-GGA, optimized geometry)
data_Cd3PdPt2
_chemical_formula_sum 'Cd3 Pd1 Pt2'
_space_group_name_H-M_alt 'P 4/m m m'
_space_group_IT_number 123
_space_group_name_Hall '-P 4 2'
_cell_length_a 3.034
_cell_length_b 3.034
_cell_length_c 11.414
_cell_angle_alpha 90.00
_cell_angle_beta 90.00
_cell_angle_gamma 90.00
loop_
_atom_site_label
_atom_site_type_symbol
_atom_site_fract_x
_atom_site_fract_y
_atom_site_fract_z
Cd1 Cd 0.000 0.000 0.000
Cd2 Cd 0.000 0.000 0.335
Pd1 Pd 0.500 0.500 0.500
Pt1 Pt 0.500 0.500 0.168
# Crystal system: tetragonal
# Energy: -3.690 eV per atom


Entry 19:
# CdPd7Pt3 (PBE-GGA, optimized geometry)
data_CdPd7Pt3
_chemical_formula_sum 'Cd2 Pd14 Pt6'
_space_group_name_H-M_alt 'C 1 m 1'
_space_group_IT_number 8
_space_group_name_Hall 'C -2y'
_cell_length_a 9.483
_cell_length_b 9.181
_cell_length_c 4.862
_cell_angle_alpha 90.00
_cell_angle_beta 120.09
_cell_angle_gamma 90.00
loop_
_atom_site_label
_atom_site_type_symbol
_atom_site_fract_x
_atom_site_fract_y
_atom_site_fract_z
Cd1 Cd 0.000 0.000 0.000
Pd1 Pd 0.147 0.500 0.658
Pd2 Pd 0.165 0.000 0.667
Pd3 Pd 0.166 0.251 0.988
Pd4 Pd 0.326 0.500 0.331
Pd5 Pd 0.331 0.240 0.648
Pt1 Pt 0.490 0.000 0.011
Pt2 Pt 0.496 0.246 0.320
# Energy relative to the lowest polymorph listed for this composition: 0 meV/atom
# Crystal system: monoclinic


Entry 20:
# Cd4PdPt4 (PBE-GGA, optimized geometry)
data_Cd4PdPt4
_chemical_formula_sum 'Cd8 Pd2 Pt8'
_space_group_name_H-M_alt 'I 4/m m m'
_space_group_IT_number 139
_space_group_name_Hall '-I 4 2'
_cell_length_a 8.654
_cell_length_b 8.654
_cell_length_c 4.214
_cell_angle_alpha 90.00
_cell_angle_beta 90.00
_cell_angle_gamma 90.00
loop_
_atom_site_label
_atom_site_type_symbol
_atom_site_fract_x
_atom_site_fract_y
_atom_site_fract_z
Cd1 Cd 0.000 0.316 0.000
Pd1 Pd 0.000 0.000 0.000
Pt1 Pt 0.166 0.166 0.500
# Energy relative to the lowest polymorph listed for this composition: 0 meV/atom
# Crystal system: tetragonal


Entry 21:
# Cd2PdPt4 (PBE-GGA, optimized geometry)
data_Cd2PdPt4
_chemical_formula_sum 'Cd4 Pd2 Pt8'
_space_group_name_H-M_alt 'P b a m'
_space_group_IT_number 55
_space_group_name_Hall '-P 2 2ab'
_cell_length_a 6.893
_cell_length_b 12.391
_cell_length_c 2.832
_cell_angle_alpha 90.00
_cell_angle_beta 90.00
_cell_angle_gamma 90.00
loop_
_atom_site_label
_atom_site_type_symbol
_atom_site_fract_x
_atom_site_fract_y
_atom_site_fract_z
Cd1 Cd 0.179 0.101 0.000
Pd1 Pd 0.000 0.500 0.500
Pt1 Pt 0.024 0.729 0.500
Pt2 Pt 0.234 0.876 0.000
# Energy relative to the lowest polymorph listed for this composition: 0 meV/atom
# Crystal system: orthorhombic


Entry 22:
# Cd2Pd2Pt3 (PBE-GGA, optimized geometry)
data_Cd2Pd2Pt3
_chemical_formula_sum 'Cd4 Pd4 Pt6'
_space_group_name_H-M_alt 'C 1 2/m 1'
_space_group_IT_number 12
_space_group_name_Hall '-C 2y'
_cell_length_a 8.963
_cell_length_b 4.047
_cell_length_c 6.459
_cell_angle_alpha 90.00
_cell_angle_beta 98.07
_cell_angle_gamma 90.00
loop_
_atom_site_label
_atom_site_type_symbol
_atom_site_fract_x
_atom_site_fract_y
_atom_site_fract_z
Cd1 Cd 0.141 0.000 0.421
Pd1 Pd 0.072 0.500 0.720
Pt1 Pt 0.000 0.000 0.000
Pt2 Pt 0.215 0.500 0.135
# Energy relative to the lowest polymorph listed for this composition: 0 meV/atom
# Crystal system: monoclinic